A plane-wave DFT calculation with PBE-GGA was carried out for a relaxed LaSb3S6 crystal.

Lattice parameters (Å, degrees): 3.941 11.957 11.727 104.03 90.00 90.00
Positions (direct):
S (0.750, 0.774, 0.280)
S (0.750, 0.113, 0.465)
S (0.250, 0.569, 0.890)
S (0.250, 0.887, 0.535)
S (0.750, 0.444, 0.624)
S (0.750, 0.799, 0.757)
S (0.250, 0.556, 0.376)
S (0.750, 0.431, 0.110)
S (0.750, 0.949, 0.115)
S (0.250, 0.201, 0.243)
S (0.250, 0.226, 0.720)
S (0.250, 0.051, 0.885)
Sb (0.250, 0.293, 0.536)
Sb (0.750, 0.427, 0.837)
Sb (0.750, 0.153, 0.097)
Sb (0.250, 0.573, 0.163)
Sb (0.750, 0.707, 0.464)
Sb (0.250, 0.847, 0.903)
La (0.250, 0.969, 0.313)
La (0.750, 0.031, 0.687)

Values from the calculation:
**Formation energy (no corrections)**: -0.75 eV per atom
**Total DFT energy (no corrections)**: -4.95 eV per atom
**Magnetization**: 0.000 μB per atom